Here is an optimized crystal structure of Li2LaIr from the Alexandria database. Energies are from PBEsol.

a = 4.3416 Å, b = 4.3416 Å, c = 14.1911 Å
α = 90.00°, β = 90.00°, γ = 120.00°
Space group R3m (No. 160, hexagonal axes)
Asymmetric unit:
Li 0.0000 0.0000 0.0000
Li 0.0000 0.0000 0.2875
La 0.0000 0.0000 0.4848
Ir 0.0000 0.0000 0.7028

The calculation puts the energy above the lowest structure with this stoichiometry at 9.29 kJ per mole of atoms. The crystal system is trigonal. As for the formation energy from the elements: -0.2054 eV per atom. As for the total energy: -4.981 eV per atom.

Here is an optimized crystal structure of LaCrBr2 from the Alexandria database. Energies are from PBEsol.

a = 7.254 Å, b = 7.254 Å, c = 7.254 Å
α = 90.00°, β = 90.00°, γ = 90.00°
Space group Fm-3m (No. 225)
Asymmetric unit:
La 0.000 0.000 0.000
Cr 0.000 0.000 0.500
Br 0.250 0.250 0.250

The calculation puts the energy above the lowest structure with this stoichiometry at 6.89 kJ per mole of atoms. The crystal system is cubic. The uncorrected formation energy comes out at -0.457 eV per atom. As for the total energy: -5.289 eV per atom.

Here is an optimized crystal structure of Li2ScBiW from the Alexandria database. Energies are from PBEsol.

a = 4.812 Å, b = 4.812 Å, c = 5.541 Å
α = 90.00°, β = 90.00°, γ = 90.00°
Space group P4/mmm (No. 123)
Asymmetric unit:
Li 0.000 0.500 0.000
Sc 0.000 0.000 0.500
Bi 0.000 0.000 0.000
W 0.500 0.500 0.500

The crystal system is tetragonal. As for the formation energy from the elements: 1.1860 eV per atom. As for the total energy: -4.540 eV per atom.

Here is an optimized crystal structure of BaCoRu2 from the Alexandria database. Energies are from PBEsol.

a = 3.084 Å, b = 3.084 Å, c = 7.557 Å
α = 90.00°, β = 90.00°, γ = 90.00°
Space group P4mm (No. 99)
Asymmetric unit:
Ba 0.000 0.000 0.000
Co 0.500 0.500 0.327
Ru 0.000 0.000 0.482
Ru 0.500 0.500 0.666

The calculation puts the energy above the lowest structure with this stoichiometry at 0.00 kJ per mole of atoms. The crystal system is tetragonal. As for the formation energy from the elements: 0.6743 eV per atom. As for the total energy: -6.883 eV per atom.

Here is an optimized crystal structure of LiCaAs2Se from the Alexandria database. Energies are from PBEsol.

a = 4.555 Å, b = 4.555 Å, c = 4.931 Å
α = 90.00°, β = 90.00°, γ = 90.00°
Space group P4/mmm (No. 123)
Asymmetric unit:
Li 0.000 0.000 0.000
Ca 0.500 0.500 0.500
As 0.000 0.500 0.000
Se 0.000 0.000 0.500

The crystal system is tetragonal. The uncorrected formation energy comes out at -0.319 eV per atom. As for the total energy: -3.952 eV per atom.

Here is an optimized crystal structure of Ca3CuSb from the Alexandria database. Energies are from PBEsol.

a = 5.303 Å, b = 5.303 Å, c = 5.303 Å
α = 90.00°, β = 90.00°, γ = 90.00°
Space group Pm-3m (No. 221)
Asymmetric unit:
Ca 0.000 0.000 0.500
Cu 0.000 0.000 0.000
Sb 0.500 0.500 0.500

The crystal system is cubic. The uncorrected formation energy comes out at -0.222 eV per atom. As for the total energy: -3.280 eV per atom.

Here is an optimized crystal structure of SrInPb2 from the Alexandria database. Energies are from PBEsol.

a = 4.940 Å, b = 4.940 Å, c = 4.733 Å
α = 90.00°, β = 90.00°, γ = 90.00°
Space group P4/mmm (No. 123)
Asymmetric unit:
Sr 0.000 0.000 0.000
In 0.500 0.500 0.000
Pb 0.000 0.500 0.500

The crystal system is tetragonal. As for the formation energy from the elements: -0.3660 eV per atom. As for the total energy: -3.571 eV per atom.

Here is an optimized crystal structure of KYAs2 from the Alexandria database. Energies are from PBEsol.

a = 4.3388 Å, b = 4.3388 Å, c = 21.5947 Å
α = 90.00°, β = 90.00°, γ = 120.00°
Space group R-3m (No. 166, hexagonal axes)
Asymmetric unit:
K 0.0000 0.0000 0.0000
Y 0.0000 0.0000 0.5000
As 0.0000 0.0000 0.2284

The calculation puts the energy above the lowest structure with this stoichiometry at 0.00 kJ per mole of atoms. The crystal system is trigonal. As for the formation energy from the elements: -0.6055 eV per atom. As for the total energy: -5.148 eV per atom.

Here is an optimized crystal structure of SrMnPt2 from the Alexandria database. Energies are from PBEsol.

a = 4.382 Å, b = 4.382 Å, c = 3.813 Å
α = 90.00°, β = 90.00°, γ = 90.00°
Space group P4/mmm (No. 123)
Asymmetric unit:
Sr 0.000 0.000 0.000
Mn 0.500 0.500 0.000
Pt 0.000 0.500 0.500

The crystal system is tetragonal. As for the formation energy from the elements: -0.1157 eV per atom. As for the total energy: -6.498 eV per atom.

Here is an optimized crystal structure of CdInHg3 from the Alexandria database. Energies are from PBEsol.

a = 5.355 Å, b = 5.355 Å, c = 5.355 Å
α = 90.00°, β = 90.00°, γ = 90.00°
Space group Pm-3m (No. 221)
Asymmetric unit:
Cd 0.000 0.000 0.000
In 0.500 0.500 0.500
Hg 0.000 0.000 0.500

The crystal system is cubic. As for the formation energy from the elements: 0.2801 eV per atom. As for the total energy: -0.896 eV per atom.

Here is an optimized crystal structure of AlRe2Si from the Alexandria database. Energies are from PBEsol.

a = 3.004 Å, b = 4.609 Å, c = 8.129 Å
α = 90.00°, β = 90.00°, γ = 90.00°
Space group Immm (No. 71)
Asymmetric unit:
Al 0.000 0.000 0.000
Re 0.000 0.500 0.231
Si 0.000 0.000 0.500

The calculation puts the energy above the lowest structure with this stoichiometry at 13.58 kJ per mole of atoms. The crystal system is orthorhombic. The uncorrected formation energy comes out at -0.020 eV per atom. As for the total energy: -9.146 eV per atom.

Here is an optimized crystal structure of AlSb3Rh from the Alexandria database. Energies are from PBEsol.

a = 5.089 Å, b = 5.089 Å, c = 5.089 Å
α = 90.00°, β = 90.00°, γ = 90.00°
Space group Pm-3m (No. 221)
Asymmetric unit:
Al 0.000 0.000 0.000
Sb 0.000 0.500 0.500
Rh 0.500 0.500 0.500

The crystal system is cubic. The uncorrected formation energy comes out at 0.450 eV per atom. As for the total energy: -4.731 eV per atom.

| no. | density (g/cm3) | D(E_F) (states/eV per cell) |
| --- | --- | --- |
| 1 | 7.419 | 2.32 |
| 2 | 6.102 | 8.04 |
| 3 | 5.845 | 3.69 |
| 4 | 9.204 | 5.00 |
| 5 | 4.477 | 2.76 |
| 6 | 3.403 | 4.60 |
| 7 | 8.869 | 2.08 |
| 8 | 3.931 | 8.48 |
| 9 | 12.081 | 1.26 |
| 10 | 8.966 | 2.50 |
| 11 | 12.611 | 4.76 |
| 12 | 6.237 | 5.06 |